[1]
Entry from the Alexandria database: a geometry-optimized Sr2MgAu structure (PBE).

Summary:
Symmetry: I-4m2 (119)
Volume: 32.08 A^3/atom
E_form: -20.6 kJ/mol of atoms

Cell lengths 6.5639, 6.5639, 6.5639 Å; angles 137.35, 137.35, 61.90 degrees
Last column: nearest neighbours and their distance in Å.
Element x y z (fractional)
Sr 0.0000 0.0000 0.0000  4 Mg 3.38, 4 Sr 3.69, 4 Au 3.69
Sr 0.7500 0.2500 0.5000  4 Au 3.38, 4 Mg 3.69, 4 Sr 3.69
Mg 0.5000 0.5000 0.0000  8 Sr 3.38-3.69, 4 Au 3.69
Au 0.2500 0.7500 0.5000  8 Sr 3.38-3.69, 4 Mg 3.69


[2]
Entry from the Alexandria database: a geometry-optimized Sr2Mg5Au3 structure (PBE).

Summary:
Symmetry: Cmc2_1 (36)
Volume: 24.56 A^3/atom
E_form: -48.9 kJ/mol of atoms

Cell lengths 14.0473, 14.0473, 7.6675 Å; angles 90.00, 90.00, 161.06 degrees
Last column: nearest neighbours and their distance in Å.
Element x y z (fractional)
Sr 0.0252 0.9748 0.5000  5 Au 3.10-3.42
Sr 0.3242 0.6758 0.4406  4 Au 3.24-3.41, 9 Mg 3.41-3.54
Sr 0.6758 0.3242 0.9406  4 Au 3.24-3.41, 9 Mg 3.41-3.54
Sr 0.9748 0.0252 0.0000  5 Au 3.10-3.42
Mg 0.0976 0.9024 0.1234  3 Au 2.78-2.88
Mg 0.2082 0.7918 0.6331  4 Au 2.79-2.84, 1 Mg 2.97
Mg 0.2099 0.7901 0.2461  3 Au 2.82-2.83, 1 Mg 2.97
Mg 0.3683 0.6317 0.9584  2 Au 2.84-3.07
Mg 0.4435 0.5565 0.3295  4 Au 2.86-3.01
Mg 0.5565 0.4435 0.8295  4 Au 2.86-3.01
Mg 0.6317 0.3683 0.4584  2 Au 2.84-3.07
Mg 0.7901 0.2099 0.7461  3 Au 2.82-2.83, 1 Mg 2.97
Mg 0.7918 0.2082 0.1331  4 Au 2.79-2.84, 1 Mg 2.97
Mg 0.9024 0.0976 0.6234  3 Au 2.78-2.88
Au 0.1130 0.8870 0.7516  4 Mg 2.79-2.88, 1 Sr 3.10
Au 0.2660 0.7340 0.9393  7 Mg 2.82-2.84
Au 0.4536 0.5464 0.7036  5 Mg 2.78-3.07
Au 0.5464 0.4536 0.2036  5 Mg 2.78-3.07
Au 0.7340 0.2660 0.4393  7 Mg 2.82-2.84
Au 0.8870 0.1130 0.2516  4 Mg 2.79-2.88, 1 Sr 3.10


[3]
Entry from the Alexandria database: a geometry-optimized SrMgAu structure (PBE).

Summary:
Symmetry: P-6m2 (187)
Volume: 28.63 A^3/atom
E_form: -50.5 kJ/mol of atoms

Cell lengths 4.7400, 4.7400, 4.4140 Å; angles 90.00, 90.00, 120.00 degrees
Last column: nearest neighbours and their distance in Å.
Element x y z (fractional)
Sr 0.0000 0.0000 0.0000  6 Au 3.52, 6 Mg 3.52
Mg 0.3333 0.6667 0.5000  3 Au 2.74
Au 0.6667 0.3333 0.5000  3 Mg 2.74


[4]
Entry from the Alexandria database: a geometry-optimized SrMgAu3 structure (PBE).

Summary:
Polymorph energy (0 for the lowest one): 0 meV/atom
Symmetry: P6_3/mmc (194)
Volume: 24.82 A^3/atom
E_form: -49.9 kJ/mol of atoms

Cell lengths 6.7694, 6.7694, 12.5107 Å; angles 90.00, 90.00, 120.00 degrees
Last column: nearest neighbours and their distance in Å.
Element x y z (fractional)
Sr 0.0000 0.0000 0.0000  12 Au 3.38-3.52
Sr 0.0000 0.0000 0.5000  12 Au 3.38-3.52
Sr 0.3333 0.6667 0.2500  12 Au 3.40-3.69
Sr 0.6667 0.3333 0.7500  12 Au 3.40-3.69
Mg 0.3333 0.6667 0.6390  6 Au 2.62-2.69, 1 Mg 2.78
Mg 0.3333 0.6667 0.8610  6 Au 2.62-2.69, 1 Mg 2.78
Mg 0.6667 0.3333 0.1390  6 Au 2.62-2.69, 1 Mg 2.78
Mg 0.6667 0.3333 0.3610  6 Au 2.62-2.69, 1 Mg 2.78
Au 0.0000 0.5000 0.0000  2 Mg 2.62
Au 0.0000 0.5000 0.5000  2 Mg 2.62
Au 0.1373 0.2746 0.7500  2 Mg 2.69, 2 Au 2.79
Au 0.1373 0.8627 0.7500  2 Mg 2.69, 2 Au 2.79
Au 0.2746 0.1373 0.2500  2 Mg 2.69, 2 Au 2.79
Au 0.5000 0.0000 0.0000  2 Mg 2.62
Au 0.5000 0.0000 0.5000  2 Mg 2.62
Au 0.5000 0.5000 0.0000  2 Mg 2.62
Au 0.5000 0.5000 0.5000  2 Mg 2.62
Au 0.7254 0.8627 0.7500  2 Mg 2.69, 2 Au 2.79
Au 0.8627 0.1373 0.2500  2 Mg 2.69, 2 Au 2.79
Au 0.8627 0.7254 0.2500  2 Mg 2.69, 2 Au 2.79


[5]
Entry from the Alexandria database: a geometry-optimized SrMg2Au structure (PBE).

Summary:
Symmetry: Pm (6)
Volume: 27.98 A^3/atom
E_form: -31.7 kJ/mol of atoms

Cell lengths 3.9301, 4.5386, 6.5538 Å; angles 90.00, 106.80, 90.00 degrees
Last column: nearest neighbours and their distance in Å.
Element x y z (fractional)
Sr 0.0000 0.0000 0.0000  4 Au 3.32, 3 Mg 3.39-3.49
Mg 0.2808 0.5000 0.5762  2 Au 2.93-2.95, 4 Mg 3.08-3.10
Mg 0.7221 0.0000 0.4601  2 Au 2.70
Au 0.6098 0.5000 0.2278  4 Mg 2.70-2.95


[6]
Entry from the Alexandria database: a geometry-optimized SrMg2Au structure (PBE).

Summary:
Symmetry: I-42d (122)
Volume: 28.39 A^3/atom
E_form: -13.4 kJ/mol of atoms

Cell lengths 11.7272, 11.7272, 11.7272 Å; angles 157.95, 157.95, 31.38 degrees
Last column: nearest neighbours and their distance in Å.
Element x y z (fractional)
Sr 0.0000 0.0000 0.0000  4 Au 3.17, 4 Mg 3.30
Sr 0.7500 0.2500 0.5000  4 Au 3.17, 4 Mg 3.30
Mg 0.1650 0.6250 0.0400  2 Mg 2.93, 2 Au 3.18
Mg 0.3750 0.4150 0.5400  2 Mg 2.93, 2 Au 3.18
Mg 0.5850 0.1250 0.9600  2 Mg 2.93, 2 Au 3.18
Mg 0.8750 0.8350 0.4600  2 Mg 2.93, 2 Au 3.18
Au 0.2500 0.7500 0.5000  4 Sr 3.17, 4 Mg 3.18
Au 0.5000 0.5000 0.0000  4 Sr 3.17, 4 Mg 3.18


Taking the records one at a time from the top gives final energy values of -9.09; -52.46; -8.12; -62.78; -9.46; -17.41 eV per cell.